Tl3Sn3Hg8: optimized geometry, PBE.

Values from the calculation:
Energy of formation from the pure elements = 0.027 eV/atom

Cell and atoms, written as CIF:
```
data_Tl3Sn3Hg8
_cell_length_a 5.2285
_cell_length_b 10.9354
_cell_length_c 14.0161
_cell_angle_alpha 90.00
_cell_angle_beta 90.00
_cell_angle_gamma 90.00
_space_group_name_H-M_alt 'I m m m'
_space_group_IT_number 71
_space_group_name_Hall '-I 2 2'
loop_
_atom_site_label
_atom_site_type_symbol
_atom_site_fract_x
_atom_site_fract_y
_atom_site_fract_z
_atom_site_occupancy
Tl1 Tl 0.0000 0.0000 0.0000 1
Tl2 Tl 0.0000 0.0000 0.2810 1
Sn1 Sn 0.0000 0.1575 0.5000 1
Sn2 Sn 0.0000 0.5000 0.0000 1
Hg1 Hg 0.0000 0.2838 0.1495 1
Hg2 Hg 0.0000 0.3669 0.3609 1
```

SrPtIO6: optimized geometry, PBE.

Values from the calculation:
Electronic total energy = -5.341 eV per atom

Cell and atoms, written as CIF:
```
data_SrPtIO6
_cell_length_a 5.3962
_cell_length_b 5.3962
_cell_length_c 5.4340
_cell_angle_alpha 90.00
_cell_angle_beta 90.00
_cell_angle_gamma 120.00
_space_group_name_H-M_alt 'P 3 1 2'
_space_group_IT_number 149
loop_
_space_group_symop_operation_xyz
'x,y,z'
'-y,x-y,z'
'-x+y,-x,z'
'-y,-x,-z'
'-x+y,y,-z'
'x,x-y,-z'
loop_
_atom_site_label
_atom_site_type_symbol
_atom_site_fract_x
_atom_site_fract_y
_atom_site_fract_z
_atom_site_occupancy
Sr1 Sr 0.0000 0.0000 0.0000 1
Pt1 Pt 0.3333 0.6667 0.5000 1
I1 I 0.6667 0.3333 0.5000 1
O1 O 0.0027 0.3699 0.7053 1
```

K2ScAgIr: optimized geometry, PBE.

Values from the calculation:
Energy of formation from the pure elements = 0.467 eV/atom

Cell and atoms, written as CIF:
```
data_K2ScAgIr
_cell_length_a 6.2567
_cell_length_b 6.2567
_cell_length_c 4.8237
_cell_angle_alpha 90.00
_cell_angle_beta 90.00
_cell_angle_gamma 90.00
_space_group_name_H-M_alt 'P 4/m m m'
_space_group_IT_number 123
_space_group_name_Hall '-P 4 2'
loop_
_atom_site_label
_atom_site_type_symbol
_atom_site_fract_x
_atom_site_fract_y
_atom_site_fract_z
_atom_site_occupancy
K1 K 0.0000 0.5000 0.0000 1
Sc1 Sc 0.0000 0.0000 0.5000 1
Ag1 Ag 0.5000 0.5000 0.5000 1
Ir1 Ir 0.0000 0.0000 0.0000 1
```

Number 1: N(E_F) 0.407 states/eV/atom. Number 2: N(E_F) 0.344 states/eV/atom. Number 3: N(E_F) 0.814 states/eV/atom.